1.
Tb3Tl2O | PBE-GGA | optimized geometry

The raw total energy comes out at -5.0322 eV/atom.

The structure belongs to space group C2/c (No. 15); the cell edges are 13.9063, 6.4606 and 6.9355 Å and the angles 90.00°, 99.24° and 90.00°. Symmetry generates all atoms from Tb at (0.0000, 0.0918, 0.2500), Tb at (0.1203, 0.4116, 0.6365), Tl at (0.1839, 0.0682, 0.0393) and O at (0.0000, 0.4332, 0.2500).



2.
Na2H2Se | PBE-GGA | optimized geometry

The excess energy over the best structure of this formula in the dataset comes out at 0 meV/atom.

The structure belongs to space group C2/c (No. 15); the cell edges are 8.5935, 4.8556 and 8.4897 Å and the angles 90.00°, 110.65° and 90.00°. Symmetry generates all atoms from Na at (0.1269, 0.2360, 0.1264), H at (0.2180, 0.3034, 0.4759) and Se at (0.0000, 0.2695, 0.7500).



3.
NdErRu2 | PBE-GGA | optimized geometry

For the formation energy, the calculation gives -0.214 eV per atom.

The structure belongs to space group P4/mmm (No. 123); the cell edges are 3.4366, 3.4366 and 6.8906 Å and the angles 90.00°, 90.00° and 90.00°. Symmetry generates all atoms from Nd at (0.0000, 0.0000, 0.0000), Er at (0.0000, 0.0000, 0.5000) and Ru at (0.5000, 0.5000, 0.2594).



4.
PaVSi2Ni | PBE-GGA | optimized geometry

The raw total energy comes out at -7.6116 eV/atom.

The structure belongs to space group I-4m2 (No. 119); the cell edges are 4.0074, 4.0074 and 10.0434 Å and the angles 90.00°, 90.00° and 90.00°. Symmetry generates all atoms from Pa at (0.0000, 0.0000, 0.0000), V at (0.0000, 0.5000, 0.7500), Si at (0.0000, 0.0000, 0.3808) and Ni at (0.0000, 0.5000, 0.2500).



5.
ScPaTiGa | PBE-GGA | optimized geometry

For the formation energy, the calculation gives -0.028 eV per atom.

The structure belongs to space group F-43m (No. 216); the cell edges are 6.8022, 6.8022 and 6.8022 Å and the angles 90.00°, 90.00° and 90.00°. Symmetry generates all atoms from Sc at (0.0000, 0.0000, 0.0000), Pa at (0.2500, 0.2500, 0.7500), Ti at (0.0000, 0.0000, 0.5000) and Ga at (0.2500, 0.2500, 0.2500).



6.
La8Zn2Ga | PBE-GGA | optimized geometry

The excess energy over the best structure of this formula in the dataset comes out at 0 meV/atom. For the formation energy, the calculation gives -0.201 eV per atom.

The structure belongs to space group C2/m (No. 12); the cell edges are 18.6000, 5.1499 and 7.6602 Å and the angles 90.00°, 112.14° and 90.00°. Symmetry generates all atoms from La at (0.0224, 0.0000, 0.2724), La at (0.0870, 0.5000, 0.9572), La at (0.1712, 0.5000, 0.4784), La at (0.1954, 0.0000, 0.8061), Zn at (0.1755, 0.0000, 0.1874) and Ga at (0.0000, 0.5000, 0.5000).



7.
HgSb2As | PBE-GGA | optimized geometry

The excess energy over the best structure of this formula in the dataset comes out at 90 meV/atom.

The structure belongs to space group Cmmm (No. 65); the cell edges are 6.0182, 9.0154 and 3.9218 Å and the angles 90.00°, 90.00° and 90.00°. Symmetry generates all atoms from Hg at (0.0000, 0.0000, 0.0000), Sb at (0.0000, 0.2658, 0.5000) and As at (0.0000, 0.5000, 0.0000).



8.
La3TeH3 | PBE-GGA | optimized geometry

The raw total energy comes out at -4.6610 eV/atom.

The structure belongs to space group Pm-3n (No. 223); the cell edges are 6.6276, 6.6276 and 6.6276 Å and the angles 90.00°, 90.00° and 90.00°. Symmetry generates all atoms from La at (0.0000, 0.2500, 0.5000), Te at (0.0000, 0.0000, 0.0000) and H at (0.0000, 0.5000, 0.2500).